# 1
CaLaRu (meta-GGA SCAN, single point on PBEsol structure); energy of formation from the pure elements = 14 meV/atom
1.0
4.164 0.000 0.000
-2.082 3.606 0.000
0.000 0.000 6.034
Ca La Ru
1 1 1
direct
0.000 0.000 0.000
0.333 0.667 0.457
0.667 0.333 0.297

=====

# 2
YZnSn (meta-GGA SCAN, single point on PBEsol structure); energy of formation from the pure elements = -663 meV/atom
1.0
4.553 0.000 0.000
-2.276 3.943 0.000
0.000 0.000 7.228
Y Zn Sn
2 2 2
direct
0.000 0.000 0.000
0.000 0.000 0.500
0.333 0.667 0.250
0.667 0.333 0.750
0.333 0.667 0.750
0.667 0.333 0.250

=====

# 3
ErSi2Rh3 (meta-GGA SCAN, single point on PBEsol structure); raw formation energy = -1.20 eV/atom
1.0
-3.559 4.728 2.732
3.559 -4.728 2.732
3.559 4.728 -2.732
Er Si Rh
2 4 6
direct
0.454 0.204 0.250
0.546 0.796 0.750
0.114 0.693 0.421
0.227 0.307 0.921
0.773 0.693 0.079
0.886 0.307 0.579
0.000 0.000 0.500
0.000 0.214 0.214
0.000 0.500 0.000
0.000 0.786 0.786
0.500 0.214 0.714
0.500 0.786 0.286

=====

# 4
TaPCl (meta-GGA SCAN, single point on PBEsol structure); raw formation energy = -0.06 eV/atom
1.0
0.000 3.033 3.033
3.033 0.000 3.033
3.033 3.033 0.000
Ta P Cl
1 1 1
direct
0.000 0.000 0.000
0.250 0.250 0.250
0.750 0.750 0.750

=====

# 5
Ba2TlGa2 (meta-GGA SCAN, single point on PBEsol structure); energy of formation from the pure elements = -272 meV/atom
1.0
-3.256 3.256 4.062
3.256 -3.256 4.062
3.256 3.256 -4.062
Ba Tl Ga
2 1 2
direct
0.250 0.750 0.500
0.750 0.250 0.500
0.000 0.000 0.000
0.353 0.353 0.000
0.647 0.647 0.000

=====

# 6
NaMn2TlPb (meta-GGA SCAN, single point on PBEsol structure); energy of formation from the pure elements = 535 meV/atom
1.0
5.154 0.000 0.000
0.000 5.154 0.000
0.000 0.000 5.947
Na Mn Tl Pb
1 2 1 1
direct
0.000 0.000 0.000
0.000 0.500 0.500
0.500 0.000 0.500
0.500 0.500 0.000
0.500 0.500 0.500

=====

# 7
Sc2TaO (meta-GGA SCAN, single point on PBEsol structure); raw formation energy = -1.19 eV/atom
1.0
1.513 0.874 8.088
-1.513 0.874 8.088
0.000 -1.747 8.088
Sc Ta O
2 1 1
direct
0.114 0.114 0.114
0.886 0.886 0.886
0.000 0.000 0.000
0.500 0.500 0.500

=====

# 8
AlNiIr2 (meta-GGA SCAN, single point on PBEsol structure); energy of formation from the pure elements = -64 meV/atom
1.0
1.366 -2.308 0.000
1.366 2.308 0.000
0.000 0.000 8.476
Al Ni Ir
1 1 2
direct
0.000 0.000 0.000
0.500 0.500 0.775
0.000 0.000 0.523
0.500 0.500 0.245

=====

| no. | total magnetic moment (μB/f.u.) | electronic total energy (eV/cell) |
| --- | --- | --- |
| 1 | 0.0 | -87.55 |
| 2 | 0.0 | -158.54 |
| 3 | 0.0 | -357.77 |
| 4 | 1.0 | -85.15 |
| 5 | 0.0 | -185.51 |
| 6 | 8.2 | -186.19 |
| 7 | 0.9 | -106.06 |
| 8 | 0.0 | -166.38 |